(P)
{
  "formula": "TaMn2Co",
  "functional": "PBE",
  "state": "optimized geometry",
  "sg": "I-4m2, No. 119",
  "m_tot_mub_per_fu": 0.76,
  "lattice_angstrom": [[4.611, 0.023, 0.000], [1.626, 4.315, 0.000], [-3.118, -2.169, 2.614]],
  "species": ["Mn", "Mn", "Ta", "Co"],
  "frac_coords": [[0.000, 0.000, 0.000], [0.250, 0.750, 0.500], [0.500, 0.500, 0.000], [0.750, 0.250, 0.500]]
}

***

(Q)
{
  "formula": "TaMn2Co",
  "functional": "PBE",
  "state": "optimized geometry",
  "sg": "P4/mmm, No. 123",
  "m_tot_mub_per_fu": 5.22,
  "lattice_angstrom": [[-2.593, -1.394, -0.737], [0.152, -1.633, 2.554], [-2.977, 4.068, 2.778]],
  "species": ["Co", "Mn", "Mn", "Ta"],
  "frac_coords": [[0.500, 0.500, 0.750], [0.000, 0.000, 0.984], [0.000, 0.000, 0.516], [0.500, 0.500, 0.250]]
}

***

(Q) is the least stable structure shown above.